Compound: InHg2OsW
Source: Alexandria via LeMat-Bulk
Functional: SCAN
Structure: single point on PBEsol structure

Results
* ΔH_f (0 K): 1815 meV/atom
* D(E_F): 0.72 states/eV/atom

a = 4.992 Å, b = 5.107 Å, c = 5.107 Å
α = 90.00°, β = 90.00°, γ = 90.00°
Each line ends with the local moment (μB).
Fractional positions:
Hg (0.000, 0.000, 0.500)  0.01
Os (0.000, 0.000, 0.000)  0.96
Hg (0.000, 0.500, 0.000)  0.01
W (0.500, 0.500, 0.500)  3.41
In (0.500, 0.000, 0.000)  -0.06